An optimized crystal structure of LiTe3OsAu, computed with PBE.

Structure (POSCAR):
```
LiTe3OsAu
1.0
-2.684 -2.646 -0.757
6.656 -7.700 3.313
-1.157 1.983 6.934
Te Os Li Au
6 2 2 2
Cartesian
3.204 -5.346 7.325
2.939 -6.868 3.821
-0.293 -3.129 2.212
-0.267 -4.578 7.187
-0.220 -1.385 5.621
-0.246 0.065 0.647
4.992 -5.775 2.484
1.664 -1.925 0.828
1.911 -3.476 5.374
-2.424 -1.037 2.459
-1.743 0.460 4.572
1.230 -4.973 3.262
```

## Properties
As for the electronic total energy: -4.3429 eV per atom. Its density is 8.9 g cm⁻³. For the magnetic moment, the calculation gives 0.0 μB/cell.

---

An optimized crystal structure of LiP5Au3, computed with PBE.

Structure (POSCAR):
```
LiP5Au3
1.0
6.920 0.000 0.000
-3.460 5.993 0.000
0.000 0.000 4.953
Li Au P
1 3 5
Cartesian
0.000 0.000 0.000
-1.730 2.997 2.476
1.730 2.997 2.476
3.460 0.000 2.476
0.000 0.000 2.476
0.000 3.995 3.884
3.460 1.998 1.069
3.460 1.998 3.884
0.000 3.995 1.069
```

## Properties
As for the electronic total energy: -4.0331 eV per atom. Its density is 6.1 g cm⁻³.

---

An optimized crystal structure of Li2PAu, computed with PBE.

Structure (POSCAR):
```
Li2PAu
1.0
3.973 -2.791 0.000
3.973 2.791 0.000
-2.163 0.000 6.413
Li P Au
4 2 2
Cartesian
0.515 -0.407 5.618
1.596 0.407 2.412
4.188 -0.407 4.001
5.269 0.407 0.795
2.351 1.112 4.810
3.433 -1.112 1.603
0.000 0.000 0.000
-1.081 0.000 3.207
```

## Properties
As for the electronic total energy: -3.7234 eV per atom. Its density is 5.6 g cm⁻³.